(1)
{"formula": "AcScGeRh", "functional": "PBE-GGA", "state": "optimized geometry", "magnetic_moment_mub_per_fu": 0.00, "space_group": "F-43m (216)", "formation_energy_ev_per_fu": -1.908, "cell": [[0.0000, 3.5898, 3.5898], [3.5898, 0.0000, 3.5898], [3.5898, 3.5898, 0.0000]], "species": ["Ac", "Sc", "Ge", "Rh"], "frac_coords": [[0.0000, 0.0000, 0.0000], [0.5000, 0.5000, 0.5000], [0.2500, 0.2500, 0.2500], [0.7500, 0.7500, 0.7500]]}


(2)
{"formula": "Ac2ScGe4Rh3", "functional": "PBE-GGA", "state": "optimized geometry", "magnetic_moment_mub_per_fu": 0.00, "space_group": "P-4m2 (115)", "formation_energy_ev_per_fu": -8.098, "cell": [[4.3846, 0.0000, 0.0000], [0.0000, 4.3846, 0.0000], [0.0000, 0.0000, 10.9246]], "species": ["Ac", "Ac", "Sc", "Ge", "Ge", "Ge", "Ge", "Rh", "Rh", "Rh"], "frac_coords": [[0.0000, 0.5000, 0.2358], [0.5000, 0.0000, 0.7642], [0.0000, 0.0000, 0.5000], [0.0000, 0.0000, 0.0000], [0.0000, 0.5000, 0.6482], [0.5000, 0.0000, 0.3518], [0.5000, 0.5000, 0.0000], [0.0000, 0.5000, 0.8841], [0.5000, 0.0000, 0.1159], [0.5000, 0.5000, 0.5000]]}


(3)
{"formula": "Ac2ScGe3Rh4", "functional": "PBE-GGA", "state": "optimized geometry", "magnetic_moment_mub_per_fu": 0.00, "space_group": "P-4m2 (115)", "formation_energy_ev_per_fu": -8.887, "cell": [[4.2662, 0.0000, 0.0000], [0.0000, 4.2662, 0.0000], [0.0000, 0.0000, 11.1015]], "species": ["Ac", "Ac", "Sc", "Ge", "Ge", "Ge", "Rh", "Rh", "Rh", "Rh"], "frac_coords": [[0.0000, 0.5000, 0.2415], [0.5000, 0.0000, 0.7585], [0.0000, 0.0000, 0.5000], [0.0000, 0.5000, 0.8794], [0.5000, 0.0000, 0.1206], [0.5000, 0.5000, 0.5000], [0.0000, 0.0000, 0.0000], [0.0000, 0.5000, 0.6454], [0.5000, 0.0000, 0.3546], [0.5000, 0.5000, 0.0000]]}


(4)
{"formula": "Ac6GeRh2Se3", "functional": "PBE-GGA", "state": "optimized geometry", "magnetic_moment_mub_per_fu": 0.00, "space_group": "C2/m (12)", "raw_formation_energy_ev_per_atom": -1.27, "cell": [[3.8194, -6.6259, 0.0000], [3.8194, 6.6259, 0.0000], [-2.5803, 0.0000, 7.6101]], "species": ["Ac", "Ac", "Ac", "Ac", "Ac", "Ac", "Ge", "Rh", "Rh", "Se", "Se", "Se"], "frac_coords": [[0.0782, 0.4249, 0.7716], [0.2307, 0.2307, 0.2294], [0.4249, 0.0782, 0.7716], [0.5751, 0.9218, 0.2284], [0.7693, 0.7693, 0.7706], [0.9218, 0.5751, 0.2284], [0.5000, 0.5000, 0.0000], [0.1672, 0.8328, 0.0000], [0.8328, 0.1672, 0.0000], [0.0000, 0.0000, 0.5000], [0.3376, 0.6624, 0.5000], [0.6624, 0.3376, 0.5000]]}